RbUFeS4: optimized geometry, PBE.

Cell and atoms, written as POSCAR:
```
RbUFeS4
1.0
6.3000 0.0000 -0.1894
0.0000 6.2537 0.0000
-2.7123 0.0000 8.7984
Rb U Fe S
2 2 2 8
direct
0.7446 0.7500 0.9476
0.2554 0.2500 0.0524
0.7564 0.7500 0.4476
0.2436 0.2500 0.5524
0.2267 0.7500 0.3429
0.7733 0.2500 0.6571
0.0219 0.5135 0.6895
0.9781 0.0135 0.3105
0.9781 0.4865 0.3105
0.0219 0.9865 0.6895
0.4278 0.7500 0.1844
0.5722 0.2500 0.8156
0.4497 0.7500 0.5849
0.5503 0.2500 0.4151
```

## Properties
Crystal system   monoclinic
Electronic total energy   -6.351 eV/atom

Rb2U2FeS6: optimized geometry, PBE.

Cell and atoms, written as POSCAR:
```
Rb2U2FeS6
1.0
6.4447 0.0453 0.0419
-3.1460 5.6249 0.0419
-1.1935 -2.0516 7.9611
Rb U Fe S
2 2 1 6
direct
0.8267 0.1733 0.0000
0.1733 0.8267 0.0000
0.3327 0.6673 0.5000
0.6673 0.3327 0.5000
0.0000 0.0000 0.5000
0.7663 0.7663 0.6796
0.0665 0.3665 0.6816
0.2337 0.2337 0.3204
0.3665 0.0665 0.6816
0.9335 0.6335 0.3184
0.6335 0.9335 0.3184
```

## Properties
Crystal system   monoclinic
Electronic total energy   -6.333 eV/atom

RbUFe2S4: optimized geometry, PBE.

Cell and atoms, written as POSCAR:
```
RbUFe2S4
1.0
-1.1688 5.5062 2.7900
-5.3337 3.1771 -1.4316
-3.8263 0.1923 5.0906
Rb U Fe S
1 1 2 4
direct
0.0000 0.0000 0.0000
0.5000 0.5000 0.5000
0.1444 0.3556 0.3556
0.8556 0.6444 0.6444
0.4612 0.1120 0.5071
0.0803 0.8880 0.4929
0.9197 0.5071 0.1120
0.5388 0.4929 0.8880
```

## Properties
Crystal system   orthorhombic
Electronic total energy   -6.297 eV/atom

Rb3U3FeS8: optimized geometry, PBE.

Cell and atoms, written as POSCAR:
```
Rb3U3FeS8
1.0
7.8816 -0.0013 -0.0058
-3.9420 6.8232 -0.0208
-0.0051 -4.5127 7.8781
Rb U Fe S
3 3 1 8
direct
0.0000 0.0000 0.0000
0.0000 0.5000 0.0000
0.5000 0.5000 0.0000
0.5000 0.0000 0.5000
0.5000 0.5000 0.5000
0.0000 0.5000 0.5000
0.0000 0.0000 0.5000
0.2682 0.5368 0.3050
0.7318 0.4632 0.6950
0.7769 0.5542 0.3187
0.2231 0.4458 0.6813
0.7768 0.0418 0.3185
0.2232 0.9582 0.6815
0.2645 0.0418 0.3186
0.7355 0.9582 0.6814
```

## Properties
Crystal system   monoclinic
Electronic total energy   -6.409 eV/atom

Rb3U2FeS6: optimized geometry, PBE.

Cell and atoms, written as POSCAR:
```
Rb3U2FeS6
1.0
-1.7624 -0.8725 6.6059
6.6455 0.5302 -1.7499
-1.9949 7.7430 -0.7076
Rb U Fe S
3 2 1 6
direct
0.1656 0.8344 0.5000
0.8344 0.1656 0.5000
0.5000 0.5000 0.5000
0.3333 0.6667 0.0000
0.6667 0.3333 0.0000
0.0000 0.0000 0.0000
0.9374 0.6107 0.8121
0.7356 0.7356 0.1878
0.0626 0.3893 0.1879
0.6107 0.9374 0.8121
0.2644 0.2644 0.8122
0.3893 0.0626 0.1879
```

## Properties
Crystal system   monoclinic
Electronic total energy   -6.004 eV/atom

RbY2FeS: optimized geometry, PBE.

Cell and atoms, written as POSCAR:
```
RbY2FeS
1.0
5.6003 0.0000 0.0000
0.0000 5.3309 0.0000
0.0000 0.0000 5.6003
Y S Fe Rb
2 1 1 1
direct
0.0000 0.0000 0.5000
0.5000 0.0000 0.0000
0.0000 0.5000 0.0000
0.5000 0.5000 0.5000
0.0000 0.0000 0.0000
```

## Properties
Crystal system   tetragonal
Electronic total energy   -3.687 eV/atom